VASP calculation (PBE) on Na2SrTcO6 after structural relaxation.

Geometry as CIF:
```
data_Na2SrTcO6
_chemical_formula_sum 'Na2 Sr1 Tc1 O6'
_symmetry_space_group_name_H-M 'P 1'
_symmetry_Int_Tables_number 1
_cell_length_a 6.373
_cell_length_b 6.373
_cell_length_c 6.290
_cell_angle_alpha 90.00
_cell_angle_beta 90.00
_cell_angle_gamma 120.00
loop_
_symmetry_equiv_pos_as_xyz
'x,y,z'
loop_
_atom_site_label
_atom_site_fract_x
_atom_site_fract_y
_atom_site_fract_z
_atom_site_occupancy
Na1 0.333 0.667 0.418 1
Na2 0.667 0.333 0.582 1
Sr1 0.000 0.000 0.000 1
Tc1 0.000 0.000 0.500 1
O1 0.138 0.275 0.320 1
O2 0.138 0.862 0.320 1
O3 0.275 0.138 0.680 1
O4 0.725 0.862 0.320 1
O5 0.862 0.138 0.680 1
O6 0.862 0.725 0.680 1
```

Calculated values
Its total energy is -5.95 eV/atom. The formation energy without anion corrections comes out at -1.5034 eV/atom. The size of the total moment is 1.03 μB/f.u.